Entry 1:
Below is crystalline KCI2N at its relaxed geometry, with properties calculated at the PBE-GGA level.

abc: 6.911 6.911 2.847
angles: 90.00 90.00 90.00
Positions (direct):
I 0.000 0.500 0.000
I 0.500 0.000 0.000
K 0.500 0.500 0.500
C 0.000 0.000 0.000
N 0.000 0.000 0.500

Computed properties:
Formation energy without anion corrections = 0.6369 eV/atom
SG = P4/mmm (123)


Entry 2:
Below is crystalline KCIN2 at its relaxed geometry, with properties calculated at the PBE-GGA level.

abc: 4.444 4.444 4.729
angles: 90.00 90.00 90.00
Site moments in Bohr magnetons follow the coordinates.
Positions (direct):
I 0.000 0.000 0.500  0.12
K 0.500 0.500 0.500  0.01
C 0.000 0.000 0.000  -0.21
N 0.000 0.500 0.000  1.29
N 0.500 0.000 0.000  1.29

Computed properties:
Formation energy without anion corrections = 2.2515 eV/atom
SG = P4/mmm (123)


Entry 3:
Below is crystalline KCI2N at its relaxed geometry, with properties calculated at the PBE-GGA level.

abc: 6.619 6.619 5.505
angles: 90.00 90.00 90.00
Site moments in Bohr magnetons follow the coordinates.
Positions (direct):
I 0.000 0.500 0.000  -0.22
I 0.500 0.000 0.000  -0.22
K 0.000 0.000 0.000  0.02
C 0.500 0.500 0.500  0.91
N 0.000 0.000 0.500  1.90

Computed properties:
Formation energy without anion corrections = 2.2191 eV/atom
SG = P4/mmm (123)